# GGA-PBE KAg2W, optimized geometry
data_KAg2W
_space_group_name_H-M_alt 'P m m 2'
_space_group_IT_number 25
_space_group_name_Hall 'P 2 -2'
_cell_length_a 2.727
_cell_length_b 4.519
_cell_length_c 7.610
_cell_angle_alpha 90.00
_cell_angle_beta 90.00
_cell_angle_gamma 90.00
loop_
_atom_site_label
_atom_site_fract_x
_atom_site_fract_y
_atom_site_fract_z
_atom_site_occupancy
K1 0.000 0.000 0.000 1
Ag1 0.000 0.000 0.474 1
Ag2 0.500 0.500 0.700 1
W1 0.500 0.500 0.344 1
# Crystal system: orthorhombic
# E (eV per formula unit): -16.0
# Energy relative to the elements (eV/atom): 0.9370
# DOS at the Fermi energy (states/eV per cell): 2.572
# Calculated volume (A^3/atom): 23.45

***

# GGA-PBE KAg2W, optimized geometry
data_KAg2W
_space_group_name_H-M_alt 'C 1 2/m 1'
_space_group_IT_number 12
_space_group_name_Hall '-C 2y'
_cell_length_a 9.217
_cell_length_b 2.737
_cell_length_c 7.399
_cell_angle_alpha 90.00
_cell_angle_beta 93.86
_cell_angle_gamma 90.00
loop_
_atom_site_label
_atom_site_fract_x
_atom_site_fract_y
_atom_site_fract_z
_atom_site_occupancy
K1 0.000 0.000 0.000 1
Ag1 0.242 0.000 0.676 1
W1 0.000 0.500 0.500 1
# Crystal system: monoclinic
# E (eV per formula unit): -16.3
# Energy relative to the elements (eV/atom): 0.8588
# DOS at the Fermi energy (states/eV per cell): 5.239
# Calculated volume (A^3/atom): 23.28

***

# GGA-PBE KAg2W, optimized geometry
data_KAg2W
_space_group_name_H-M_alt 'I -4 m 2'
_space_group_IT_number 119
_space_group_name_Hall 'I -4 -2'
_cell_length_a 4.252
_cell_length_b 4.252
_cell_length_c 9.850
_cell_angle_alpha 90.00
_cell_angle_beta 90.00
_cell_angle_gamma 90.00
loop_
_atom_site_label
_atom_site_fract_x
_atom_site_fract_y
_atom_site_fract_z
_atom_site_occupancy
K1 0.000 0.000 0.000 1
Ag1 0.000 0.000 0.500 1
Ag2 0.000 0.500 0.250 1
W1 0.000 0.500 0.750 1
# Crystal system: tetragonal
# E (eV per formula unit): -14.2
# Energy relative to the elements (eV/atom): 1.3815
# DOS at the Fermi energy (states/eV per cell): 4.263
# Calculated volume (A^3/atom): 22.26

***

# GGA-PBE KAgW2, optimized geometry
data_KAgW2
_space_group_name_H-M_alt 'R -3 m'
_space_group_IT_number 166
_space_group_name_Hall '-R 3 2"'
_cell_length_a 2.8143
_cell_length_b 2.8143
_cell_length_c 33.7821
_cell_angle_alpha 90.00
_cell_angle_beta 90.00
_cell_angle_gamma 120.00
loop_
_atom_site_label
_atom_site_fract_x
_atom_site_fract_y
_atom_site_fract_z
_atom_site_occupancy
K1 0.0000 0.0000 0.0000 1
Ag1 0.0000 0.0000 0.5000 1
W1 0.0000 0.0000 0.2396 1
# Crystal system: trigonal
# E (eV per formula unit): -25.3
# Energy relative to the elements (eV/atom): 1.1264
# DOS at the Fermi energy (states/eV per cell): 8.677
# Calculated volume (A^3/atom): 19.31

***

# GGA-PBE KAg2W, optimized geometry
data_KAg2W
_space_group_name_H-M_alt 'P m m m'
_space_group_IT_number 47
_space_group_name_Hall '-P 2 2'
_cell_length_a 2.750
_cell_length_b 5.404
_cell_length_c 5.858
_cell_angle_alpha 90.00
_cell_angle_beta 90.00
_cell_angle_gamma 90.00
loop_
_atom_site_label
_atom_site_fract_x
_atom_site_fract_y
_atom_site_fract_z
_atom_site_occupancy
K1 0.000 0.000 0.000 1
Ag1 0.000 0.500 0.500 1
Ag2 0.500 0.500 0.000 1
W1 0.500 0.000 0.500 1
# Crystal system: orthorhombic
# E (eV per formula unit): -14.7
# Energy relative to the elements (eV/atom): 1.2688
# DOS at the Fermi energy (states/eV per cell): 3.084
# Calculated volume (A^3/atom): 21.77

***

# GGA-PBE KAgW2, optimized geometry
data_KAgW2
_space_group_name_H-M_alt 'P 4/m m m'
_space_group_IT_number 123
_space_group_name_Hall '-P 4 2'
_cell_length_a 2.695
_cell_length_b 2.695
_cell_length_c 10.890
_cell_angle_alpha 90.00
_cell_angle_beta 90.00
_cell_angle_gamma 90.00
loop_
_atom_site_label
_atom_site_fract_x
_atom_site_fract_y
_atom_site_fract_z
_atom_site_occupancy
K1 0.000 0.000 0.000 1
Ag1 0.000 0.000 0.500 1
W1 0.500 0.500 0.288 1
# Crystal system: tetragonal
# E (eV per formula unit): -24.9
# Energy relative to the elements (eV/atom): 1.2396
# DOS at the Fermi energy (states/eV per cell): 5.291
# Calculated volume (A^3/atom): 19.77

***

> Number 2 is which compound?

KAg2W

***

> Which of these has the highest energy relative to the elements?

number 3